Entry 1:
Below is crystalline InAs3Br at its relaxed geometry, with properties calculated at the GGA-PBE level.

Unit cell a=5.1544 b=5.1544 c=5.1544 alpha=90.00 beta=90.00 gamma=90.00
Closest atoms and distances in Å follow each position.
Space group Pm-3m (No. 221)
Inequivalent atoms, fractional coordinates:
In (0.0000, 0.0000, 0.0000) x1  12 As 3.64
As (0.0000, 0.5000, 0.5000) x3  2 Br 2.58
Br (0.5000, 0.5000, 0.5000) x1  6 As 2.58

***

Entry 2:
Below is crystalline InAs2Br at its relaxed geometry, with properties calculated at the GGA-PBE level.

Unit cell a=5.2563 b=5.2563 c=3.2835 alpha=90.00 beta=90.00 gamma=90.00
Closest atoms and distances in Å follow each position.
Space group P4/mmm (No. 123)
Inequivalent atoms, fractional coordinates:
In (0.0000, 0.0000, 0.0000) x1  8 As 3.10, 2 In 3.28
As (0.0000, 0.5000, 0.5000) x2  4 Br 3.10, 4 In 3.10, 2 As 3.28
Br (0.5000, 0.5000, 0.0000) x1  8 As 3.10, 2 Br 3.28

***

Entry 3:
Below is crystalline InAs2Br at its relaxed geometry, with properties calculated at the GGA-PBE level.

Unit cell a=3.9314 b=3.9314 c=26.1716 alpha=90.00 beta=90.00 gamma=120.00
Closest atoms and distances in Å follow each position.
Space group R3m (No. 160, hexagonal axes)
Inequivalent atoms, fractional coordinates:
In (0.0000, 0.0000, 0.0000) x3  3 Br 2.93, 3 As 3.17
As (0.0000, 0.0000, 0.4660) x3  3 As 2.60
As (0.0000, 0.0000, 0.7510) x3  3 As 2.60
Br (0.0000, 0.0000, 0.2624) x3  3 In 2.93

***

Entry 4:
Below is crystalline In2As2Br at its relaxed geometry, with properties calculated at the GGA-PBE level.

Unit cell a=3.7736 b=3.7736 c=19.8003 alpha=90.00 beta=90.00 gamma=90.00
Closest atoms and distances in Å follow each position.
Space group I4/mmm (No. 139)
Inequivalent atoms, fractional coordinates:
In (0.0000, 0.0000, 0.1051) x4  4 Br 3.38, 4 As 3.43, 4 In 3.77
As (0.0000, 0.5000, 0.2500) x4  4 As 2.67
Br (0.0000, 0.0000, 0.5000) x2  8 In 3.38, 4 Br 3.77

***

Calculated ΔE to the lowest computed polymorph, 68, 615, 0, 152 meV/atom (same order as the records).
Calculated volume, 27.388, 22.680, 29.193, 28.196 A^3/atom (same order as the records).